(1)
VASP calculation (PBE) on a relaxed structure of Pr2Dy3YSb6.

The space group is C2/m (No. 12) and the conventional cell measures 19.369, 4.447 and 8.887 Å, with angles of 90.00, 103.22 and 90.00 degrees. The distinct sites, in fractional coordinates, are Pr at (0.166, 0.000, 0.332), Dy at (0.000, 0.500, 0.500), Dy at (0.168, 0.000, 0.834), Y at (0.000, 0.500, 0.000), Sb at (0.003, 0.000, 0.751), Sb at (0.164, 0.500, 0.589) and Sb at (0.166, 0.500, 0.075).

As for the uncorrected energy: -136.770 eV per cell. The value obtained for the uncorrected formation energy is -1.152 eV/atom.

***

(2)
VASP calculation (PBE) on a relaxed structure of CrInW2.

The space group is I-42d (No. 122) and the conventional cell measures 3.815, 3.815 and 19.865 Å, with angles of 90.00, 90.00 and 90.00 degrees. The distinct sites, in fractional coordinates, are Cr at (0.000, 0.000, 0.000), In at (0.000, 0.000, 0.500) and W at (0.242, 0.250, 0.125).

The value obtained for the energy relative to the elements is 4.03 eV per formula unit. As for the uncorrected energy: -136.952 eV per cell.

***

(3)
VASP calculation (PBE) on a relaxed structure of In4Te3Se2.

The space group is C2/m (No. 12) and the conventional cell measures 13.864, 4.168 and 9.446 Å, with angles of 90.00, 99.72 and 90.00 degrees. The distinct sites, in fractional coordinates, are In at (0.049, 0.000, 0.198), In at (0.162, 0.500, 0.611), Te at (0.000, 0.000, 0.500), Te at (0.104, 0.500, 0.899) and Se at (0.201, 0.500, 0.324).

As for the uncorrected energy: -59.793 eV per cell. The value obtained for the uncorrected formation energy is -0.283 eV/atom.

***

| no. | N(E_F) (states/eV/f.u.) |
| --- | --- |
| 1 | 1.94 |
| 2 | 3.53 |
| 3 | 2.78 |